No. 1
VASP calculation (PBE-GGA) on a relaxed CuSi2Se crystal.

Values from the calculation:
V: 21.32 A^3/atom
formation energy (no corrections): 123 kJ/mol of formula units

Cell: 11.052 3.028 5.895 Å, 90.00 120.16 90.00°
Space group Cm (No. 8)
Inequivalent atoms, fractional coordinates:
Cu (0.000, 0.000, 0.000) (multiplicity 2)
Si (0.183, 0.500, 0.294) (multiplicity 2)
Si (0.346, 0.000, 0.646) (multiplicity 2)
Se (0.414, 0.500, 0.344) (multiplicity 2)

---

No. 2
VASP calculation (PBE-GGA) on a relaxed Cu2SiSe crystal.

Values from the calculation:
V: 15.51 A^3/atom
formation energy (no corrections): 107 kJ/mol of formula units

Cell: 5.298 6.982 3.484 Å, 90.00 105.64 90.00°
Space group C2/m (No. 12)
Inequivalent atoms, fractional coordinates:
Cu (0.250, 0.250, 0.000) (multiplicity 4)
Si (0.000, 0.000, 0.500) (multiplicity 2)
Se (0.000, 0.500, 0.500) (multiplicity 2)

---

No. 3
VASP calculation (PBE-GGA) on a relaxed CuSi2Se crystal.

Values from the calculation:
V: 16.14 A^3/atom
formation energy (no corrections): 208 kJ/mol of formula units

Cell: 6.368 6.368 6.368 Å, 90.00 90.00 90.00°
Space group F-43m (No. 216)
Inequivalent atoms, fractional coordinates:
Cu (0.000, 0.000, 0.000) (multiplicity 4)
Si (0.000, 0.000, 0.500) (multiplicity 4)
Si (0.250, 0.250, 0.250) (multiplicity 4)
Se (0.250, 0.250, 0.750) (multiplicity 4)

---

No. 4
VASP calculation (PBE-GGA) on a relaxed Cu2SiSe crystal.

Values from the calculation:
V: 15.86 A^3/atom
formation energy (no corrections): 53 kJ/mol of formula units

Cell: 2.606 3.628 6.709 Å, 90.00 90.00 90.00°
Space group Pmm2 (No. 25)
Inequivalent atoms, fractional coordinates:
Cu (0.000, 0.000, 0.000) (multiplicity 1)
Cu (0.500, 0.500, 0.210) (multiplicity 1)
Si (0.000, 0.000, 0.375) (multiplicity 1)
Se (0.000, 0.500, 0.748) (multiplicity 1)

---

No. 5
VASP calculation (PBE-GGA) on a relaxed Cu3SiSe4 crystal.

Values from the calculation:
V: 21.16 A^3/atom
formation energy (no corrections): -225 kJ/mol of formula units

Cell: 5.529 5.529 11.073 Å, 90.00 90.00 90.00°
Space group I-42m (No. 121)
Inequivalent atoms, fractional coordinates:
Cu (0.000, 0.000, 0.000) (multiplicity 2)
Cu (0.000, 0.500, 0.250) (multiplicity 4)
Si (0.000, 0.000, 0.500) (multiplicity 2)
Se (0.243, 0.243, 0.377) (multiplicity 8)

---

No. 6
VASP calculation (PBE-GGA) on a relaxed Cu4SiSe5 crystal.

Values from the calculation:
V: 18.96 A^3/atom
formation energy (no corrections): -114 kJ/mol of formula units

Cell: 7.825 7.825 6.192 Å, 90.00 90.00 90.00°
Space group I4 (No. 79)
Inequivalent atoms, fractional coordinates:
Cu (0.129, 0.731, 0.000) (multiplicity 8)
Si (0.000, 0.000, 0.471) (multiplicity 2)
Se (0.000, 0.000, 0.857) (multiplicity 2)
Se (0.071, 0.709, 0.388) (multiplicity 8)

---

No. 7
VASP calculation (PBE-GGA) on a relaxed CuSi2Se crystal.

Values from the calculation:
V: 16.23 A^3/atom
formation energy (no corrections): 205 kJ/mol of formula units

Cell: 4.533 4.533 3.160 Å, 90.00 90.00 90.00°
Space group P4/mmm (No. 123)
Inequivalent atoms, fractional coordinates:
Cu (0.000, 0.000, 0.000) (multiplicity 1)
Si (0.000, 0.500, 0.500) (multiplicity 2)
Se (0.500, 0.500, 0.000) (multiplicity 1)

---

No. 8
VASP calculation (PBE-GGA) on a relaxed CuSi2Se crystal.

Values from the calculation:
V: 16.74 A^3/atom
formation energy (no corrections): 153 kJ/mol of formula units

Cell: 3.462 4.301 8.997 Å, 90.00 90.00 90.00°
Space group Cmm2 (No. 35)
Inequivalent atoms, fractional coordinates:
Cu (0.000, 0.000, 0.000) (multiplicity 2)
Si (0.000, 0.000, 0.594) (multiplicity 2)
Si (0.000, 0.500, 0.803) (multiplicity 2)
Se (0.000, 0.500, 0.240) (multiplicity 2)

---

No. 9
VASP calculation (PBE-GGA) on a relaxed CuSi2Se crystal.

Values from the calculation:
V: 16.65 A^3/atom
formation energy (no corrections): 90 kJ/mol of formula units

Cell: 3.5163 3.5163 18.6570 Å, 90.00 90.00 120.00°
Space group R-3m (No. 166, hexagonal axes)
Inequivalent atoms, fractional coordinates:
Cu (0.0000, 0.0000, 0.0000) (multiplicity 3)
Si (0.0000, 0.0000, 0.2605) (multiplicity 6)
Se (0.0000, 0.0000, 0.5000) (multiplicity 3)

---

No. 10
VASP calculation (PBE-GGA) on a relaxed Cu2SiSe crystal.

Values from the calculation:
V: 16.65 A^3/atom
formation energy (no corrections): 74 kJ/mol of formula units

Cell: 2.594 3.713 6.917 Å, 90.00 90.00 90.00°
Space group Pmm2 (No. 25)
Inequivalent atoms, fractional coordinates:
Cu (0.000, 0.000, 0.000) (multiplicity 1)
Cu (0.500, 0.500, 0.215) (multiplicity 1)
Si (0.500, 0.500, 0.855) (multiplicity 1)
Se (0.000, 0.000, 0.422) (multiplicity 1)

---

No. 11
VASP calculation (PBE-GGA) on a relaxed CuSi2Se crystal.

Values from the calculation:
V: 15.97 A^3/atom
formation energy (no corrections): 76 kJ/mol of formula units

Cell: 5.019 9.673 3.621 Å, 90.00 133.39 90.00°
Space group C2/m (No. 12)
Inequivalent atoms, fractional coordinates:
Cu (0.000, 0.000, 0.000) (multiplicity 2)
Si (0.250, 0.250, 0.500) (multiplicity 4)
Se (0.000, 0.500, 0.000) (multiplicity 2)

---

No. 12
VASP calculation (PBE-GGA) on a relaxed CuSiSe crystal.

Values from the calculation:
V: 16.82 A^3/atom
formation energy (no corrections): 111 kJ/mol of formula units

Cell: 4.6976 4.6976 2.6399 Å, 90.00 90.00 120.00°
Space group P-6m2 (No. 187)
Inequivalent atoms, fractional coordinates:
Cu (0.0000, 0.0000, 0.0000) (multiplicity 1)
Si (0.6667, 0.3333, 0.0000) (multiplicity 1)
Se (0.3333, 0.6667, 0.0000) (multiplicity 1)

---

No. 13
VASP calculation (PBE-GGA) on a relaxed CuSi2Se crystal.

Values from the calculation:
V: 18.12 A^3/atom
formation energy (no corrections): 144 kJ/mol of formula units

Cell: 2.9597 2.9597 28.6683 Å, 90.00 90.00 120.00°
Space group R3m (No. 160, hexagonal axes)
Inequivalent atoms, fractional coordinates:
Cu (0.0000, 0.0000, 0.0000) (multiplicity 3)
Si (0.0000, 0.0000, 0.2700) (multiplicity 3)
Si (0.0000, 0.0000, 0.5378) (multiplicity 3)
Se (0.0000, 0.0000, 0.7362) (multiplicity 3)

---

No. 14
VASP calculation (PBE-GGA) on a relaxed Cu2SiSe crystal.

Values from the calculation:
V: 15.25 A^3/atom
formation energy (no corrections): 101 kJ/mol of formula units

Cell: 2.703 3.547 6.360 Å, 90.00 90.00 90.00°
Space group Pmmm (No. 47)
Inequivalent atoms, fractional coordinates:
Cu (0.000, 0.000, 0.206) (multiplicity 2)
Si (0.500, 0.500, 0.000) (multiplicity 1)
Se (0.500, 0.500, 0.500) (multiplicity 1)

---

No. 15
VASP calculation (PBE-GGA) on a relaxed Cu2SiSe crystal.

Values from the calculation:
V: 15.12 A^3/atom
formation energy (no corrections): 55 kJ/mol of formula units

Cell: 2.736 2.960 7.465 Å, 90.00 90.01 90.00°
Space group P2/m (No. 10)
Inequivalent atoms, fractional coordinates:
Cu (0.005, 0.000, 0.293) (multiplicity 2)
Si (0.500, 0.500, 0.500) (multiplicity 1)
Se (0.000, 0.500, 0.000) (multiplicity 1)

---

No. 16
VASP calculation (PBE-GGA) on a relaxed CuSiSe crystal.

Values from the calculation:
V: 19.11 A^3/atom
formation energy (no corrections): 14 kJ/mol of formula units

Cell: 2.635 3.873 11.237 Å, 90.00 90.00 90.00°
Space group Imm2 (No. 44)
Inequivalent atoms, fractional coordinates:
Cu (0.000, 0.000, 0.000) (multiplicity 2)
Si (0.000, 0.000, 0.553) (multiplicity 2)
Se (0.000, 0.000, 0.763) (multiplicity 2)

---

No. 17
VASP calculation (PBE-GGA) on a relaxed Cu2SiSe crystal.

Values from the calculation:
V: 15.41 A^3/atom
formation energy (no corrections): 103 kJ/mol of formula units

Cell: 3.825 4.015 8.026 Å, 90.00 90.00 90.00°
Space group Cmmm (No. 65)
Inequivalent atoms, fractional coordinates:
Cu (0.000, 0.000, 0.200) (multiplicity 4)
Si (0.000, 0.500, 0.000) (multiplicity 2)
Se (0.000, 0.500, 0.500) (multiplicity 2)

---

No. 18
VASP calculation (PBE-GGA) on a relaxed Cu2SiTe2Se crystal.

Values from the calculation:
V: 24.81 A^3/atom
formation energy (no corrections): -68 kJ/mol of formula units

Cell: 12.436 7.089 6.755 Å, 90.00 90.00 90.00°
Space group Cmc2_1 (No. 36)
Inequivalent atoms, fractional coordinates:
Cu (0.156, 0.175, 0.000) (multiplicity 8)
Si (0.000, 0.345, 0.496) (multiplicity 4)
Te (0.165, 0.172, 0.380) (multiplicity 8)
Se (0.000, 0.340, 0.865) (multiplicity 4)

---

No. 19
VASP calculation (PBE-GGA) on a relaxed Tl2CuSiSe4 crystal.

Values from the calculation:
V: 28.98 A^3/atom
formation energy (no corrections): -253 kJ/mol of formula units

Cell: 6.115 13.336 22.745 Å, 90.00 90.00 90.00°
Space group Fddd (No. 70, origin choice 2)
Inequivalent atoms, fractional coordinates:
Tl (0.125, 0.125, 0.314) (multiplicity 16)
Cu (0.125, 0.125, 0.125) (multiplicity 8)
Si (0.125, 0.125, 0.625) (multiplicity 8)
Se (0.104, 0.274, 0.821) (multiplicity 32)

---

No. 20
VASP calculation (PBE-GGA) on a relaxed Tm8CuSi3Se4 crystal.

Values from the calculation:
V: 23.46 A^3/atom
formation energy (no corrections): -1797 kJ/mol of formula units

Cell: 8.0273 8.0273 20.1818 Å, 90.00 90.00 120.00°
Space group R-3m (No. 166, hexagonal axes)
Inequivalent atoms, fractional coordinates:
Tm (0.0000, 0.0000, 0.2448) (multiplicity 6)
Tm (0.0046, 0.5023, 0.7536) (multiplicity 18)
Cu (0.0000, 0.0000, 0.5000) (multiplicity 3)
Si (0.0000, 0.5000, 0.5000) (multiplicity 9)
Se (0.0000, 0.0000, 0.0000) (multiplicity 3)
Se (0.0000, 0.5000, 0.0000) (multiplicity 9)